1.
A PBEsol-optimized structure of KHoBeF6, computed with SCAN.

## Properties
**Formation energy (no corrections)**: -3.865 eV/atom
**Space-group type**: P2_1/m

abc: 6.2828 5.7687 6.9480
angles: 90.00 112.90 90.00
With the nearest neighbours (Å) after each atom.
Sites, in units of the cell vectors:
1 K 0.0692 0.2500 0.2035  10 F 2.71-3.02
2 K 0.9308 0.7500 0.7965  10 F 2.71-3.02
3 Ho 0.3881 0.2500 0.8236  8 F 2.22-2.33
4 Ho 0.6119 0.7500 0.1764  8 F 2.22-2.33
5 Be 0.2319 0.7500 0.4627  4 F 1.54-1.56
6 Be 0.7681 0.2500 0.5373  4 F 1.54-1.56
7 F 0.0092 0.7500 0.2577  1 Be 1.56
8 F 0.2307 0.5332 0.5959  1 Be 1.56
9 F 0.2307 0.9668 0.5959  1 Be 1.56
10 F 0.3198 0.5024 0.0370  2 Ho 2.23-2.24
11 F 0.3198 0.9976 0.0370  2 Ho 2.23-2.24
12 F 0.4488 0.7500 0.4119  1 Be 1.54
13 F 0.5512 0.2500 0.5881  1 Be 1.54
14 F 0.6802 0.0024 0.9630  2 Ho 2.23-2.24
15 F 0.6802 0.4976 0.9630  2 Ho 2.23-2.24
16 F 0.7693 0.0332 0.4041  1 Be 1.56
17 F 0.7693 0.4668 0.4041  1 Be 1.56
18 F 0.9908 0.2500 0.7423  1 Be 1.56



2.
A PBEsol-optimized structure of Ta2CrSi6, computed with SCAN.

## Properties
**Formation energy (no corrections)**: -0.317 eV/atom
**Space-group type**: C222

abc: 4.6909 4.6909 6.4533
angles: 90.00 90.00 121.05
With the nearest neighbours (Å) after each atom.
Sites, in units of the cell vectors:
1 Ta 0.0000 0.5000 0.1641  10 Si 2.56-2.72
2 Ta 0.5000 0.0000 0.8359  10 Si 2.56-2.72
3 Cr 0.0000 0.0000 0.5000  10 Si 2.48-2.78
4 Si 0.1767 0.3306 0.8250  4 Si 2.48-2.66, 1 Cr 2.48, 4 Ta 2.60-2.72
5 Si 0.3306 0.1767 0.1750  4 Si 2.48-2.66, 1 Cr 2.48, 4 Ta 2.60-2.72
6 Si 0.3401 0.6599 0.5000  5 Si 2.48-2.74, 2 Ta 2.56, 3 Cr 2.65-2.78
7 Si 0.6599 0.3401 0.5000  5 Si 2.48-2.74, 2 Ta 2.56, 3 Cr 2.65-2.78
8 Si 0.6694 0.8233 0.1750  4 Si 2.48-2.66, 1 Cr 2.48, 4 Ta 2.60-2.72
9 Si 0.8233 0.6694 0.8250  4 Si 2.48-2.66, 1 Cr 2.48, 4 Ta 2.60-2.72



3.
A PBEsol-optimized structure of Lu5Pt3, computed with SCAN.

## Properties
**Formation energy**: -1.31 eV/atom
**Space-group type**: P6_3/mcm

abc: 8.1877 8.1877 5.8756
angles: 90.00 90.00 120.00
With the nearest neighbours (Å) after each atom.
Sites, in units of the cell vectors:
1 Lu 0.0000 0.2455 0.2500  3 Pt 2.83-2.94
2 Lu 0.0000 0.7545 0.7500  3 Pt 2.83-2.94
3 Lu 0.2455 0.0000 0.2500  3 Pt 2.83-2.94
4 Lu 0.2455 0.2455 0.7500  3 Pt 2.83-2.94
5 Lu 0.3333 0.6667 0.0000  6 Pt 2.91, 2 Lu 2.94
6 Lu 0.3333 0.6667 0.5000  6 Pt 2.91, 2 Lu 2.94
7 Lu 0.6667 0.3333 0.0000  6 Pt 2.91, 2 Lu 2.94
8 Lu 0.6667 0.3333 0.5000  6 Pt 2.91, 2 Lu 2.94
9 Lu 0.7545 0.0000 0.7500  3 Pt 2.83-2.94
10 Lu 0.7545 0.7545 0.2500  3 Pt 2.83-2.94
11 Pt 0.0000 0.3959 0.7500  7 Lu 2.83-2.94
12 Pt 0.0000 0.6041 0.2500  7 Lu 2.83-2.94
13 Pt 0.3959 0.0000 0.7500  7 Lu 2.83-2.94
14 Pt 0.3959 0.3959 0.2500  7 Lu 2.83-2.94
15 Pt 0.6041 0.0000 0.2500  7 Lu 2.83-2.94
16 Pt 0.6041 0.6041 0.7500  7 Lu 2.83-2.94